[1]
This record from the Alexandria database describes a geometry-optimized AlWSe2 structure. The functional is PBE-GGA.

total moment	0.00	μB/cell
Fermi-level density of states	1.6	states/eV/cell
ΔE_f (raw)	-0.196	eV per atom
space group	R3m

Cell: 9.9198 9.9198 9.9198 Å, 18.04 18.04 18.04°
Fractional positions:
Al 0.0000 0.0000 0.0000
W 0.2606 0.2606 0.2606
Se 0.5336 0.5336 0.5336
Se 0.7332 0.7332 0.7332


[2]
This record from the Alexandria database describes a geometry-optimized AlWSe2 structure. The functional is PBE-GGA.

total moment	0.00	μB/cell
Fermi-level density of states	2.4	states/eV/cell
ΔE_f (raw)	-0.005	eV per atom
space group	Immm

Cell: 7.0900 7.0900 7.0900 Å, 151.12 148.32 43.40°
Fractional positions:
Al 0.0000 0.0000 0.0000
W 0.5000 0.5000 0.0000
Se 0.3550 0.8550 0.5000
Se 0.6450 0.1450 0.5000


[3]
This record from the Alexandria database describes a geometry-optimized Al2WSe structure. The functional is PBE-GGA.

total moment	0.00	μB/cell
Fermi-level density of states	1.8	states/eV/cell
ΔE_f (raw)	0.285	eV per atom
space group	Cmm2

Cell: 2.8726 2.8726 9.8515 Å, 90.00 90.00 113.54°
Fractional positions:
Al 0.0000 0.0000 0.0000
Al 0.5000 0.5000 0.2369
W 0.0000 0.0000 0.4605
Se 0.5000 0.5000 0.6655


[4]
This record from the Alexandria database describes a geometry-optimized Al2WSe structure. The functional is PBE-GGA.

total moment	0.00	μB/cell
Fermi-level density of states	1.6	states/eV/cell
ΔE_f (raw)	0.043	eV per atom
space group	Cm

Cell: 5.2249 5.2249 4.8005 Å, 103.04 103.04 33.20°
Fractional positions:
Al 0.0000 0.0000 0.0000
Al 0.2187 0.2187 0.6512
W 0.4798 0.4798 0.5159
Se 0.7918 0.7918 0.2191


[5]
This record from the Alexandria database describes a geometry-optimized AlWSe2 structure. The functional is PBE-GGA.

total moment	1.03	μB/cell
Fermi-level density of states	3.7	states/eV/cell
ΔE_f (raw)	0.642	eV per atom
space group	I-4m2

Cell: 5.1622 5.1622 5.1622 Å, 134.29 134.29 66.64°
Fractional positions:
Al 0.0000 0.0000 0.0000
W 0.7500 0.2500 0.5000
Se 0.2500 0.7500 0.5000
Se 0.5000 0.5000 0.0000


[6]
This record from the Alexandria database describes a geometry-optimized AlWSe2 structure. The functional is PBE-GGA.

total moment	0.00	μB/cell
Fermi-level density of states	2.1	states/eV/cell
ΔE_f (raw)	0.415	eV per atom
space group	P2/m

Cell: 3.2112 4.4682 5.2766 Å, 90.00 100.43 90.00°
Fractional positions:
Al 0.0000 0.0000 0.0000
W 0.5000 0.0000 0.5000
Se 0.4421 0.5000 0.2466
Se 0.5579 0.5000 0.7534